# TiCr2O5

A geometry-optimized TiCr2O5 structure (GGA+U, the Alexandria database).

The space group is Cmcm (No. 63) and the conventional cell measures 3.883, 9.728 and 9.782 Å, with angles of 90.00, 90.00 and 90.00 degrees. The asymmetric unit holds Ti at (0.000, 0.189, 0.250), Cr at (0.000, 0.144, 0.559), O at (0.000, 0.050, 0.121), O at (0.000, 0.245, 0.750) and O at (0.000, 0.313, 0.070).

Its volume is 369.6 Å³/cell. The total magnetization is 24.0 Bohr magnetons per cell. The mass density is 4.17 g/cm³. Its energy above the most stable polymorph in this dataset is 0 meV per atom. The density of states at the Fermi level comes out at 0.0000 states/eV per atom. As for the total energy: -265.7 eV/cell.